Entry 1:
Computed, not measured: Ce2ReN4 after structural relaxation at the PBE level of DFT.

Lattice parameters (Å, degrees): 6.003 5.700 6.772 90.00 108.11 90.00
Positions (direct):
Ce 0.202 0.250 0.045
Ce 0.283 0.250 0.570
Ce 0.717 0.750 0.430
Ce 0.798 0.750 0.955
Re 0.259 0.750 0.806
Re 0.741 0.250 0.194
N 0.038 0.505 0.756
N 0.038 0.995 0.756
N 0.444 0.750 0.082
N 0.452 0.750 0.635
N 0.548 0.250 0.365
N 0.556 0.250 0.918
N 0.962 0.005 0.244
N 0.962 0.495 0.244

Calculated total energy in hartree per atom: -0.3340
D(E_F) in states/eV per cell: 18.11
V in Å³/cell: 220.2
Theoretical density in Mg/m³: 7.9
Crystal system: monoclinic
Excess energy over the best structure of this formula in the dataset in eV/atom: 0.184
Formation energy (no corrections) in eV per atom: -0.8581

***

Entry 2:
Computed, not measured: Ce2Re2N7 after structural relaxation at the PBE level of DFT.

Lattice parameters (Å, degrees): 6.104 6.104 5.105 97.83 97.83 104.00
Positions (direct):
Ce 0.195 0.805 0.000
Ce 0.805 0.195 0.000
Re 0.276 0.276 0.592
Re 0.724 0.724 0.408
N 0.102 0.414 0.786
N 0.108 0.108 0.273
N 0.414 0.102 0.786
N 0.500 0.500 0.500
N 0.586 0.898 0.214
N 0.892 0.892 0.727
N 0.898 0.586 0.214

Calculated total energy in hartree per atom: -0.3400
D(E_F) in states/eV per cell: 8.93
V in Å³/cell: 180.0
Theoretical density in Mg/m³: 6.9
Crystal system: monoclinic
Formation energy (no corrections) in eV per atom: -0.6111

***

Entry 3:
Computed, not measured: Ce2SmReN4 after structural relaxation at the PBE level of DFT.

Lattice parameters (Å, degrees): 6.235 6.235 11.768 90.00 90.00 148.38
Positions (direct):
Ce 0.132 0.868 0.546
Ce 0.132 0.868 0.954
Ce 0.868 0.132 0.046
Ce 0.868 0.132 0.454
Sm 0.382 0.618 0.750
Sm 0.618 0.382 0.250
Re 0.356 0.644 0.250
Re 0.644 0.356 0.750
N 0.040 0.960 0.750
N 0.231 0.769 0.130
N 0.231 0.769 0.370
N 0.500 0.500 0.000
N 0.500 0.500 0.500
N 0.769 0.231 0.630
N 0.769 0.231 0.870
N 0.960 0.040 0.250

Calculated total energy in hartree per atom: -0.3240
D(E_F) in states/eV per cell: 4.55
V in Å³/cell: 239.8
Theoretical density in Mg/m³: 9.3
Crystal system: orthorhombic
Formation energy (no corrections) in eV per atom: -1.0254

***

Entry 4:
Computed, not measured: CeSmReN4 after structural relaxation at the PBE level of DFT.

Lattice parameters (Å, degrees): 6.827 6.827 5.492 90.00 90.00 132.86
Positions (direct):
Ce 0.101 0.899 0.750
Ce 0.899 0.101 0.250
Sm 0.397 0.603 0.750
Sm 0.603 0.397 0.250
Re 0.256 0.744 0.250
Re 0.744 0.256 0.750
N 0.000 0.500 0.000
N 0.000 0.500 0.500
N 0.074 0.926 0.250
N 0.420 0.580 0.250
N 0.500 0.000 0.000
N 0.500 0.000 0.500
N 0.580 0.420 0.750
N 0.926 0.074 0.750

Calculated total energy in hartree per atom: -0.3321
D(E_F) in states/eV per cell: 7.13
V in Å³/cell: 187.6
Theoretical density in Mg/m³: 9.4
Crystal system: orthorhombic
Formation energy (no corrections) in eV per atom: -0.9794

***

Entry 5:
Computed, not measured: CeSm2ReN5 after structural relaxation at the PBE level of DFT.

Lattice parameters (Å, degrees): 7.450 7.450 7.450 126.16 126.16 79.62
Positions (direct):
Ce 0.250 0.250 0.000
Ce 0.750 0.750 0.000
Sm 0.173 0.673 0.847
Sm 0.327 0.173 0.500
Sm 0.673 0.827 0.500
Sm 0.827 0.327 0.153
Re 0.250 0.750 0.500
Re 0.750 0.250 0.500
N 0.000 0.000 0.000
N 0.003 0.203 0.500
N 0.203 0.703 0.200
N 0.297 0.497 0.500
N 0.497 0.997 0.200
N 0.500 0.500 0.000
N 0.503 0.003 0.800
N 0.703 0.503 0.500
N 0.797 0.297 0.800
N 0.997 0.797 0.500

Calculated total energy in hartree per atom: -0.3216
D(E_F) in states/eV per cell: 11.04
V in Å³/cell: 260.4
Theoretical density in Mg/m³: 8.9
Crystal system: tetragonal
Formation energy (no corrections) in eV per atom: -1.0344

***

Entry 6:
Computed, not measured: Sr2CeReN4 after structural relaxation at the PBE level of DFT.

Lattice parameters (Å, degrees): 6.071 6.071 7.385 90.00 90.00 90.00
Positions (direct):
Sr 0.000 0.000 0.000
Sr 0.000 0.500 0.250
Sr 0.500 0.000 0.750
Sr 0.500 0.500 0.500
Ce 0.000 0.000 0.500
Ce 0.500 0.500 0.000
Re 0.000 0.500 0.750
Re 0.500 0.000 0.250
N 0.189 0.738 0.674
N 0.238 0.311 0.826
N 0.262 0.189 0.326
N 0.311 0.762 0.174
N 0.689 0.238 0.174
N 0.738 0.811 0.326
N 0.762 0.689 0.826
N 0.811 0.262 0.674

Calculated total energy in hartree per atom: -0.2797
D(E_F) in states/eV per cell: 13.31
V in Å³/cell: 272.2
Theoretical density in Mg/m³: 6.8
Crystal system: tetragonal
Formation energy (no corrections) in eV per atom: -0.7295

***

Entry 7:
Computed, not measured: SrCeReN4 after structural relaxation at the PBE level of DFT.

Lattice parameters (Å, degrees): 7.047 7.047 5.496 90.00 90.00 134.08
Positions (direct):
Sr 0.103 0.897 0.750
Sr 0.897 0.103 0.250
Ce 0.401 0.599 0.750
Ce 0.599 0.401 0.250
Re 0.234 0.766 0.250
Re 0.766 0.234 0.750
N 0.000 0.500 0.000
N 0.000 0.500 0.500
N 0.089 0.911 0.250
N 0.435 0.565 0.250
N 0.500 0.000 0.000
N 0.500 0.000 0.500
N 0.565 0.435 0.750
N 0.911 0.089 0.750

Calculated total energy in hartree per atom: -0.3082
D(E_F) in states/eV per cell: 7.55
V in Å³/cell: 196.0
Theoretical density in Mg/m³: 8.0
Crystal system: orthorhombic
Formation energy (no corrections) in eV per atom: -0.7625

***

Entry 8:
Computed, not measured: TbCe2ReN5 after structural relaxation at the PBE level of DFT.

Lattice parameters (Å, degrees): 7.440 7.440 7.440 127.32 127.32 77.73
Positions (direct):
Tb 0.250 0.250 0.000
Tb 0.750 0.750 0.000
Ce 0.173 0.673 0.845
Ce 0.327 0.173 0.500
Ce 0.673 0.827 0.500
Ce 0.827 0.327 0.155
Re 0.250 0.750 0.500
Re 0.750 0.250 0.500
N 0.000 0.000 0.000
N 0.009 0.201 0.500
N 0.201 0.701 0.192
N 0.299 0.491 0.500
N 0.491 0.991 0.192
N 0.500 0.500 0.000
N 0.509 0.009 0.808
N 0.701 0.509 0.500
N 0.799 0.299 0.808
N 0.991 0.799 0.500

Calculated total energy in hartree per atom: -0.3260
D(E_F) in states/eV per cell: 17.60
V in Å³/cell: 252.5
Theoretical density in Mg/m³: 9.1
Crystal system: tetragonal
Formation energy (no corrections) in eV per atom: -1.0297